[1]
Compound: ThH8Ir2Rh
Source: Alexandria
Functional: PBE-GGA
Structure: optimized geometry

## Properties
The total energy is -5.091 eV per atom. The calculation puts the magnetic moment at 0.00 μB/f.u. The space group is No. 148.

Unit cell a=6.271 b=6.271 c=6.271 alpha=44.05 beta=44.05 gamma=44.05
Positions (direct):
Th: 0.000 0.000 0.000
H: 0.143 0.782 0.410
H: 0.218 0.590 0.857
H: 0.325 0.325 0.325
H: 0.410 0.143 0.782
H: 0.590 0.857 0.218
H: 0.675 0.675 0.675
H: 0.782 0.410 0.143
H: 0.857 0.218 0.590
Ir: 0.229 0.229 0.229
Ir: 0.771 0.771 0.771
Rh: 0.500 0.500 0.500


[2]
Compound: KSc2Cu
Source: Alexandria
Functional: PBE-GGA
Structure: optimized geometry

## Properties
Its formation energy is 656 meV per atom. The calculation puts the magnetic moment at 0.70 μB/f.u. The space group is No. 123.

Unit cell a=4.422 b=4.422 c=5.163 alpha=90.00 beta=90.00 gamma=90.00
Positions (direct):
K: 0.000 0.000 0.000
Sc: 0.000 0.500 0.500
Sc: 0.500 0.000 0.500
Cu: 0.500 0.500 0.000


[3]
Compound: CePmN2
Source: Alexandria
Functional: PBE-GGA
Structure: optimized geometry

## Properties
The total energy is -8.288 eV per atom. The calculation puts the magnetic moment at 0.00 μB/f.u. The space group is No. 194.

Unit cell a=3.567 b=3.567 c=11.801 alpha=90.00 beta=90.00 gamma=120.00
Positions (direct):
Ce: 0.000 0.000 0.000
Ce: 0.000 0.000 0.500
Pm: 0.333 0.667 0.250
Pm: 0.667 0.333 0.750
N: 0.333 0.667 0.616
N: 0.333 0.667 0.884
N: 0.667 0.333 0.116
N: 0.667 0.333 0.384


[4]
Compound: RbPaCuTe3
Source: Alexandria
Functional: PBE-GGA
Structure: optimized geometry

## Properties
The total energy is -4.781 eV per atom. The calculation puts the magnetic moment at 1.01 μB/f.u. The space group is No. 11.

Unit cell a=10.106 b=4.350 c=10.502 alpha=90.00 beta=111.84 gamma=90.00
Positions (direct):
Rb: 0.213 0.250 0.252
Rb: 0.787 0.750 0.748
Pa: 0.316 0.750 0.841
Pa: 0.684 0.250 0.159
Cu: 0.089 0.250 0.603
Cu: 0.911 0.750 0.397
Te: 0.111 0.250 0.861
Te: 0.199 0.750 0.533
Te: 0.464 0.750 0.161
Te: 0.536 0.250 0.839
Te: 0.801 0.250 0.467
Te: 0.889 0.750 0.139


[5]
Compound: Tl2CrPb
Source: Alexandria
Functional: PBE-GGA
Structure: optimized geometry

## Properties
Its formation energy is 429 meV per atom. The calculation puts the magnetic moment at 4.28 μB/f.u. The space group is No. 166.

Unit cell a=10.385 b=10.385 c=10.385 alpha=19.24 beta=19.24 gamma=19.24
Positions (direct):
Tl: 0.240 0.240 0.240
Tl: 0.760 0.760 0.760
Cr: 0.500 0.500 0.500
Pb: 0.000 0.000 0.000


[6]
Compound: LiSm4Ag5
Source: Alexandria
Functional: PBE-GGA
Structure: optimized geometry

## Properties
Its formation energy is -242 meV per atom. The calculation puts the magnetic moment at 0.00 μB/f.u. The space group is No. 123.

Unit cell a=3.627 b=3.627 c=18.185 alpha=90.00 beta=90.00 gamma=90.00
Positions (direct):
Li: 0.000 0.000 0.000
Sm: 0.000 0.000 0.184
Sm: 0.000 0.000 0.395
Sm: 0.000 0.000 0.605
Sm: 0.000 0.000 0.816
Ag: 0.500 0.500 0.078
Ag: 0.500 0.500 0.290
Ag: 0.500 0.500 0.500
Ag: 0.500 0.500 0.710
Ag: 0.500 0.500 0.922


[7]
Compound: BiAu
Source: Alexandria
Functional: PBE-GGA
Structure: optimized geometry

## Properties
Its formation energy is 210 meV per atom. The calculation puts the magnetic moment at 0.00 μB/f.u. The space group is No. 12.

Unit cell a=3.129 b=3.129 c=5.717 alpha=90.92 beta=90.92 gamma=90.00
Positions (direct):
Bi: 0.000 0.000 0.000
Au: 0.000 0.000 0.500


[8]
Compound: LaSm3Ir
Source: Alexandria
Functional: PBE-GGA
Structure: optimized geometry

## Properties
Its formation energy is -279 meV per atom. The calculation puts the magnetic moment at 0.00 μB/f.u. The space group is No. 194.

Unit cell a=7.843 b=7.843 c=6.018 alpha=90.00 beta=90.00 gamma=120.00
Positions (direct):
La: 0.333 0.667 0.250
La: 0.667 0.333 0.750
Sm: 0.177 0.354 0.750
Sm: 0.177 0.823 0.750
Sm: 0.354 0.177 0.250
Sm: 0.646 0.823 0.750
Sm: 0.823 0.177 0.250
Sm: 0.823 0.646 0.250
Ir: 0.000 0.000 0.000
Ir: 0.000 0.000 0.500